DFT (PBE with a Hubbard U) results for crystalline Li2MnVP2O8F2 at its relaxed geometry.

```
Li2MnVP2O8F2
1.0
5.2500 0.0000 0.0000
-0.7318 5.2619 0.0000
-1.9233 -2.7796 6.6404
Li Mn V P O F
2 1 1 2 8 2
direct
0.0902 0.4342 0.3162 Li
0.9098 0.5658 0.6838 Li
0.5000 0.5000 0.0000 Mn
0.0000 0.0000 0.5000 V
0.4501 0.1243 0.2629 P
0.5499 0.8757 0.7371 P
0.2378 0.7780 0.6196 O
0.2895 0.1642 0.4141 O
0.3586 0.3251 0.1605 O
0.3670 0.8245 0.1108 O
0.6330 0.1755 0.8892 O
0.6414 0.6749 0.8395 O
0.7105 0.8358 0.5859 O
0.7622 0.2220 0.3804 O
0.1167 0.3272 0.7555 F
0.8833 0.6728 0.2445 F
```

Values from the calculation:
distance to the lowest polymorph of the same formula = 0.00 eV per formula unit
DFT total energy = -6.89 eV/atom
total moment = 0.3750 μB per atom